Record 1
# CoAsPb2 PBE relaxed
data_CoAsPb2
_cell_length_a 6.173
_cell_length_b 6.173
_cell_length_c 12.597
_cell_angle_alpha 90.00
_cell_angle_beta 90.00
_cell_angle_gamma 90.00
_symmetry_space_group_name_H-M 'I -4 2 d'
_symmetry_Int_Tables_number 122
_symmetry_space_group_name_Hall 'I -4 2bw'
loop_
_atom_site_label
_atom_site_type_symbol
_atom_site_fract_x
_atom_site_fract_y
_atom_site_fract_z
Co1 Co 0.000 0.000 0.000
As1 As 0.000 0.000 0.500
Pb1 Pb 0.214 0.250 0.125
# Magnetization = 0.27 μB/atom
# Raw total energy = -68.3 eV per cell

Record 2
# Nd2Pd3Au PBE relaxed
data_Nd2Pd3Au
_cell_length_a 4.6251
_cell_length_b 4.6251
_cell_length_c 14.4591
_cell_angle_alpha 90.00
_cell_angle_beta 90.00
_cell_angle_gamma 120.00
_symmetry_space_group_name_H-M 'P 63/m m c'
_symmetry_Int_Tables_number 194
_symmetry_space_group_name_Hall '-P 6c 2c'
loop_
_atom_site_label
_atom_site_type_symbol
_atom_site_fract_x
_atom_site_fract_y
_atom_site_fract_z
Nd1 Nd 0.0000 0.0000 0.1227
Pd1 Pd 0.3333 0.6667 0.0075
Pd2 Pd 0.3333 0.6667 0.2500
Au1 Au 0.3333 0.6667 0.7500
# E above lowest polymorph = 0.00 kcal/mol of atoms
# Magnetization = 0.00 μB/atom
# Raw total energy = -65.4 eV per cell

Record 3
# Sm6Sb3AsP2 PBE relaxed
data_Sm6Sb3AsP2
_cell_length_a 18.836
_cell_length_b 4.281
_cell_length_c 8.658
_cell_angle_alpha 90.00
_cell_angle_beta 104.28
_cell_angle_gamma 90.00
_symmetry_space_group_name_H-M 'C 1 2/m 1'
_symmetry_Int_Tables_number 12
_symmetry_space_group_name_Hall '-C 2y'
loop_
_atom_site_label
_atom_site_type_symbol
_atom_site_fract_x
_atom_site_fract_y
_atom_site_fract_z
Sm1 Sm 0.006 0.000 0.242
Sm2 Sm 0.164 0.500 0.098
Sm3 Sm 0.172 0.500 0.570
Sb1 Sb 0.000 0.500 0.500
Sb2 Sb 0.166 0.000 0.832
As1 As 0.000 0.500 0.000
P1 P 0.167 0.000 0.334
# Magnetization = 0.00 μB/atom
# Energy relative to the elements, uncorrected = -1.34 eV per atom
# Raw total energy = -144.5 eV per cell

Record 4
# KLaRu2 PBE relaxed
data_KLaRu2
_cell_length_a 5.000
_cell_length_b 5.000
_cell_length_c 3.521
_cell_angle_alpha 90.00
_cell_angle_beta 90.00
_cell_angle_gamma 90.00
_symmetry_space_group_name_H-M 'P 4/m m m'
_symmetry_Int_Tables_number 123
_symmetry_space_group_name_Hall '-P 4 2'
loop_
_atom_site_label
_atom_site_type_symbol
_atom_site_fract_x
_atom_site_fract_y
_atom_site_fract_z
K1 K 0.000 0.000 0.000
La1 La 0.500 0.500 0.000
Ru1 Ru 0.000 0.500 0.500
# E above lowest polymorph = 16.08 kcal/mol of atoms
# Magnetization = 0.19 μB/atom
# Raw total energy = -20.6 eV per cell

Record 5
# Cd4CuMo PBE relaxed
data_Cd4CuMo
_cell_length_a 7.906
_cell_length_b 7.906
_cell_length_c 7.906
_cell_angle_alpha 90.00
_cell_angle_beta 90.00
_cell_angle_gamma 90.00
_symmetry_space_group_name_H-M 'F -4 3 m'
_symmetry_Int_Tables_number 216
_symmetry_space_group_name_Hall 'F -4 2 3'
loop_
_atom_site_label
_atom_site_type_symbol
_atom_site_fract_x
_atom_site_fract_y
_atom_site_fract_z
Cd1 Cd 0.125 0.125 0.125
Cu1 Cu 0.250 0.250 0.750
Mo1 Mo 0.000 0.000 0.500
# Magnetization = 0.58 μB/atom
# Raw total energy = -58.4 eV per cell

Record 6
# KSeCl6 PBE relaxed
data_KSeCl6
_cell_length_a 9.909
_cell_length_b 8.996
_cell_length_c 7.361
_cell_angle_alpha 90.00
_cell_angle_beta 126.15
_cell_angle_gamma 90.00
_symmetry_space_group_name_H-M 'C 1 2/m 1'
_symmetry_Int_Tables_number 12
_symmetry_space_group_name_Hall '-C 2y'
loop_
_atom_site_label
_atom_site_type_symbol
_atom_site_fract_x
_atom_site_fract_y
_atom_site_fract_z
K1 K 0.000 0.000 0.000
Se1 Se 0.000 0.500 0.500
Cl1 Cl 0.143 0.315 0.784
Cl2 Cl 0.219 0.500 0.460
# E above lowest polymorph = 0.00 kcal/mol of atoms
# Magnetization = 0.00 μB/atom
# Energy relative to the elements, uncorrected = -0.61 eV per atom
# Raw total energy = -41.2 eV per cell

Record 7
# SmEuGe PBE relaxed
data_SmEuGe
_cell_length_a 4.8785
_cell_length_b 4.8785
_cell_length_c 4.3579
_cell_angle_alpha 90.00
_cell_angle_beta 90.00
_cell_angle_gamma 120.00
_symmetry_space_group_name_H-M 'P 3 m 1'
_symmetry_Int_Tables_number 156
_symmetry_space_group_name_Hall 'P 3 -2"'
loop_
_atom_site_label
_atom_site_type_symbol
_atom_site_fract_x
_atom_site_fract_y
_atom_site_fract_z
Sm1 Sm 0.0000 0.0000 0.0000
Eu1 Eu 0.3333 0.6667 0.4731
Ge1 Ge 0.6667 0.3333 0.8376
# E above lowest polymorph = 2.59 kcal/mol of atoms
# Magnetization = 2.49 μB/atom
# Raw total energy = -20.7 eV per cell

Record 8
# UGaFe PBE relaxed
data_UGaFe
_cell_length_a 5.647
_cell_length_b 5.798
_cell_length_c 8.468
_cell_angle_alpha 90.00
_cell_angle_beta 131.54
_cell_angle_gamma 90.00
_symmetry_space_group_name_H-M 'P 1 21/c 1'
_symmetry_Int_Tables_number 14
_symmetry_space_group_name_Hall '-P 2ybc'
loop_
_atom_site_label
_atom_site_type_symbol
_atom_site_fract_x
_atom_site_fract_y
_atom_site_fract_z
U1 U 0.094 0.111 0.409
Ga1 Ga 0.423 0.615 0.602
Fe1 Fe 0.148 0.119 0.181
# Magnetization = 0.00 μB/atom
# Raw total energy = -94.7 eV per cell

Record 9
# Pm2Si4TcNi3 PBE relaxed
data_Pm2Si4TcNi3
_cell_length_a 4.055
_cell_length_b 4.055
_cell_length_c 9.756
_cell_angle_alpha 90.00
_cell_angle_beta 90.00
_cell_angle_gamma 90.00
_symmetry_space_group_name_H-M 'P -4 m 2'
_symmetry_Int_Tables_number 115
_symmetry_space_group_name_Hall 'P -4 -2'
loop_
_atom_site_label
_atom_site_type_symbol
_atom_site_fract_x
_atom_site_fract_y
_atom_site_fract_z
Pm1 Pm 0.000 0.500 0.240
Si1 Si 0.000 0.000 0.000
Si2 Si 0.000 0.500 0.633
Si3 Si 0.500 0.500 0.000
Tc1 Tc 0.000 0.000 0.500
Ni1 Ni 0.000 0.500 0.879
Ni2 Ni 0.500 0.500 0.500
# Magnetization = 0.00 μB/atom
# Energy relative to the elements, uncorrected = -0.78 eV per atom
# Raw total energy = -66.7 eV per cell

Record 10
# NaTm2Cd6 PBE relaxed
data_NaTm2Cd6
_cell_length_a 8.6572
_cell_length_b 8.6572
_cell_length_c 3.3372
_cell_angle_alpha 90.00
_cell_angle_beta 90.00
_cell_angle_gamma 120.00
_symmetry_space_group_name_H-M 'P 6/m m m'
_symmetry_Int_Tables_number 191
_symmetry_space_group_name_Hall '-P 6 2'
loop_
_atom_site_label
_atom_site_type_symbol
_atom_site_fract_x
_atom_site_fract_y
_atom_site_fract_z
Na1 Na 0.0000 0.0000 0.0000
Tm1 Tm 0.3333 0.6667 0.0000
Cd1 Cd 0.0000 0.3337 0.5000
# Magnetization = 0.00 μB/atom
# Raw total energy = -17.8 eV per cell

Record 11
# PRhBr PBE relaxed
data_PRhBr
_cell_length_a 6.160
_cell_length_b 6.160
_cell_length_c 6.160
_cell_angle_alpha 90.00
_cell_angle_beta 90.00
_cell_angle_gamma 90.00
_symmetry_space_group_name_H-M 'F -4 3 m'
_symmetry_Int_Tables_number 216
_symmetry_space_group_name_Hall 'F -4 2 3'
loop_
_atom_site_label
_atom_site_type_symbol
_atom_site_fract_x
_atom_site_fract_y
_atom_site_fract_z
P1 P 0.000 0.000 0.000
Rh1 Rh 0.250 0.250 0.250
Br1 Br 0.250 0.250 0.750
# E above lowest polymorph = 24.51 kcal/mol of atoms
# Magnetization = 0.00 μB/atom
# Energy relative to the elements, uncorrected = 0.80 eV per atom
# Raw total energy = -48.2 eV per cell

Record 12
# NbBrN2 PBE relaxed
data_NbBrN2
_cell_length_a 3.2383
_cell_length_b 3.2383
_cell_length_c 19.1715
_cell_angle_alpha 90.00
_cell_angle_beta 90.00
_cell_angle_gamma 120.00
_symmetry_space_group_name_H-M 'R -3 m'
_symmetry_Int_Tables_number 166
_symmetry_space_group_name_Hall '-R 3 2"'
loop_
_atom_site_label
_atom_site_type_symbol
_atom_site_fract_x
_atom_site_fract_y
_atom_site_fract_z
Nb1 Nb 0.0000 0.0000 0.0000
Br1 Br 0.0000 0.0000 0.5000
N1 N 0.0000 0.0000 0.3888
# E above lowest polymorph = 0.00 kcal/mol of atoms
# Magnetization = 0.00 μB/atom
# Energy relative to the elements, uncorrected = 0.01 eV per atom
# Raw total energy = -85.0 eV per cell